No. 1
The following is a PBE calculation of a relaxed Ta2TiAuSe crystal, from the Alexandria database.

**Uncorrected formation energy**: 1320 meV/atom
**Magnetic moment**: 0.000 μB/atom

Cell: 4.7337 4.7337 4.9372 Å, 90.00 90.00 90.00°
Space group P4/mmm (No. 123)
Unique sites:
Ta1 0.0000 0.5000 0.0000 [2 per cell]
Ti1 0.0000 0.0000 0.0000 [1 per cell]
Au1 0.0000 0.0000 0.5000 [1 per cell]
Se1 0.5000 0.5000 0.5000 [1 per cell]

***

No. 2
The following is a PBE calculation of a relaxed Mn4Si3 crystal, from the Alexandria database.

**Energy relative to the lowest polymorph listed for this composition**: 0.0 kJ per mole of atoms
**Uncorrected formation energy**: -235 meV/atom
**Magnetic moment**: 0.183 μB/atom

Cell: 2.9065 2.9065 18.5864 Å, 90.00 90.00 90.00°
Space group I4/mmm (No. 139)
Unique sites:
Mn1 0.0000 0.0000 0.0699 [4 per cell]
Mn2 0.0000 0.0000 0.3477 [4 per cell]
Si1 0.0000 0.0000 0.2106 [4 per cell]
Si2 0.0000 0.0000 0.5000 [2 per cell]

***

No. 3
The following is a PBE calculation of a relaxed AcY4Ho8 crystal, from the Alexandria database.

**E**: -4.57 eV/atom
**Magnetic moment**: 0.141 μB/atom

Cell: 11.0739 11.0739 13.5311 Å, 90.00 90.00 120.00°
Space group R-3m (No. 166, hexagonal axes)
Unique sites:
Ac1 0.0000 0.0000 0.0000 [3 per cell]
Y1 0.0000 0.0000 0.5000 [3 per cell]
Y2 0.0000 0.5000 0.5000 [9 per cell]
Ho1 0.0000 0.0000 0.2628 [6 per cell]
Ho2 0.0166 0.5083 0.2453 [18 per cell]

***

No. 4
The following is a PBE calculation of a relaxed ZnIr2Rh crystal, from the Alexandria database.

**E**: -6.49 eV/atom
**Magnetic moment**: 0.004 μB/atom

Cell: 5.3234 9.2584 2.7204 Å, 90.00 119.14 90.00°
Space group C2/m (No. 12)
Unique sites:
Zn1 0.0000 0.0000 0.0000 [2 per cell]
Ir1 0.2500 0.2500 0.5000 [4 per cell]
Rh1 0.0000 0.5000 0.0000 [2 per cell]

***

No. 5
The following is a PBE calculation of a relaxed MgNbZn2 crystal, from the Alexandria database.

**E**: -3.48 eV/atom
**Magnetic moment**: 0.000 μB/atom

Cell: 2.9196 2.9196 28.2771 Å, 90.00 90.00 120.00°
Space group R-3m (No. 166, hexagonal axes)
Unique sites:
Mg1 0.0000 0.0000 0.0000 [3 per cell]
Nb1 0.0000 0.0000 0.5000 [3 per cell]
Zn1 0.0000 0.0000 0.2495 [6 per cell]

***

No. 6
The following is a PBE calculation of a relaxed LiHgAs2 crystal, from the Alexandria database.

**E**: -2.92 eV/atom
**Magnetic moment**: 0.000 μB/atom

Cell: 4.0275 4.0275 9.7536 Å, 90.00 90.00 90.00°
Space group I4/mmm (No. 139)
Unique sites:
Li1 0.0000 0.0000 0.0000 [2 per cell]
Hg1 0.0000 0.0000 0.5000 [2 per cell]
As1 0.0000 0.5000 0.2500 [4 per cell]